(1)
A geometry-optimized Rb2BeIrCl6 structure, computed with GGA-PBE.

As for the density of states at the Fermi level: 6.4 states/eV/cell. The calculation puts the uncorrected formation energy at -1010 meV per atom.

It has space group I4/mmm (No. 139), with a = 6.685 Å, b = 6.685 Å, c = 10.805 Å, α = 90.00°, β = 90.00° and γ = 90.00°. The asymmetric unit holds Rb at (0.000, 0.500, 0.250), Be at (0.000, 0.000, 0.000), Ir at (0.000, 0.000, 0.500), Cl at (0.000, 0.000, 0.279) and Cl at (0.233, 0.233, 0.000).

(2)
A geometry-optimized BeIrSCl2 structure, computed with GGA-PBE.

As for the density of states at the Fermi level: 3.6 states/eV/cell. The calculation puts the uncorrected formation energy at 512 meV per atom. Its energy above the most stable polymorph in this dataset is 0 kJ/mol of formula units.

It has space group P4/mmm (No. 123), with a = 3.951 Å, b = 3.951 Å, c = 6.581 Å, α = 90.00°, β = 90.00° and γ = 90.00°. The asymmetric unit holds Be at (0.000, 0.000, 0.000), Ir at (0.500, 0.500, 0.500), S at (0.000, 0.000, 0.500) and Cl at (0.000, 0.500, 0.000).

Please write out number 2 again, unchanged.
A geometry-optimized BeIrSCl2 structure, computed with GGA-PBE.

As for the density of states at the Fermi level: 3.6 states/eV/cell. The calculation puts the uncorrected formation energy at 512 meV per atom. Its energy above the most stable polymorph in this dataset is 0 kJ/mol of formula units.

It has space group P4/mmm (No. 123), with a = 3.951 Å, b = 3.951 Å, c = 6.581 Å, α = 90.00°, β = 90.00° and γ = 90.00°. The asymmetric unit holds Be at (0.000, 0.000, 0.000), Ir at (0.500, 0.500, 0.500), S at (0.000, 0.000, 0.500) and Cl at (0.000, 0.500, 0.000).

What is the formula in the first record?
Rb2BeIrCl6